[1]
A plane-wave DFT calculation with PBE-GGA was carried out for Cu5Ni6 after structural relaxation.

Values from the calculation:
space-group type: No. 71
magnetic moment: 2.15 μB/cell

a = 3.9460 Å, b = 6.2089 Å, c = 6.4067 Å
α = 118.98°, β = 107.94°, γ = 90.00°
Last column: nearest neighbours and their distance in Å.
Fractional coordinates of all 11 atoms:
Ni (0.8592, 0.0582, 0.7184)  5 Cu 2.38-2.52, 3 Ni 2.46-2.47
Cu (0.6494, 0.6494, 0.2987)  8 Ni 2.46-2.72, 4 Cu 2.48-2.52
Cu (0.0000, 0.5000, 0.0000)  4 Ni 2.38, 4 Cu 2.52
Ni (0.1408, 0.3398, 0.2816)  5 Cu 2.38-2.52, 3 Ni 2.46-2.47
Cu (0.3506, 0.3506, 0.7013)  8 Ni 2.46-2.72, 4 Cu 2.48-2.52
Ni (0.5000, 0.1945, 0.0000)  5 Ni 2.42-2.46, 4 Cu 2.46-2.49
Cu (0.7078, 0.2078, 0.4157)  8 Ni 2.43-2.49, 2 Cu 2.48
Ni (0.5000, 0.8055, 0.0000)  5 Ni 2.42-2.46, 4 Cu 2.46-2.49
Ni (0.8592, 0.6602, 0.7184)  5 Cu 2.38-2.52, 3 Ni 2.46-2.47
Cu (0.2922, 0.7922, 0.5843)  8 Ni 2.43-2.49, 2 Cu 2.48
Ni (0.1408, 0.9418, 0.2816)  5 Cu 2.38-2.52, 3 Ni 2.46-2.47

[2]
A plane-wave DFT calculation with PBE-GGA was carried out for CuNi3 after structural relaxation.

Values from the calculation:
space-group type: No. 62
magnetic moment: 5.98 μB/cell

a = 4.3229 Å, b = 8.2079 Å, c = 5.0078 Å
α = 90.00°, β = 90.00°, γ = 90.00°
Last column: nearest neighbours and their distance in Å.
Fractional coordinates of all 16 atoms:
Ni (0.7468, 0.0017, 0.6234)  9 Ni 2.47-2.53, 3 Cu 2.50-2.53
Ni (0.2532, 0.5017, 0.3766)  9 Ni 2.47-2.53, 3 Cu 2.50-2.53
Ni (0.0845, 0.7500, 0.1309)  8 Ni 2.47-2.53, 4 Cu 2.48-2.52
Cu (0.4170, 0.2500, 0.1272)  10 Ni 2.48-2.53, 2 Cu 2.49
Cu (0.0830, 0.7500, 0.6272)  10 Ni 2.48-2.53, 2 Cu 2.49
Ni (0.2532, 0.9983, 0.3766)  9 Ni 2.47-2.53, 3 Cu 2.50-2.53
Ni (0.2468, 0.4983, 0.8766)  9 Ni 2.47-2.53, 3 Cu 2.50-2.53
Ni (0.7532, 0.9983, 0.1234)  9 Ni 2.47-2.53, 3 Cu 2.50-2.53
Cu (0.9170, 0.2500, 0.3728)  10 Ni 2.48-2.53, 2 Cu 2.49
Ni (0.5845, 0.7500, 0.3691)  8 Ni 2.47-2.53, 4 Cu 2.48-2.52
Ni (0.4155, 0.2500, 0.6309)  8 Ni 2.47-2.53, 4 Cu 2.48-2.52
Ni (0.7532, 0.5017, 0.1234)  9 Ni 2.47-2.53, 3 Cu 2.50-2.53
Ni (0.7468, 0.4983, 0.6234)  9 Ni 2.47-2.53, 3 Cu 2.50-2.53
Ni (0.2468, 0.0017, 0.8766)  9 Ni 2.47-2.53, 3 Cu 2.50-2.53
Cu (0.5830, 0.7500, 0.8728)  10 Ni 2.48-2.53, 2 Cu 2.49
Ni (0.9155, 0.2500, 0.8691)  8 Ni 2.47-2.53, 4 Cu 2.48-2.52

[3]
A plane-wave DFT calculation with PBE-GGA was carried out for Cu7Ni3 after structural relaxation.

Values from the calculation:
space-group type: No. 12
magnetic moment: 0.00 μB/cell

a = 3.6032 Å, b = 5.0544 Å, c = 6.7043 Å
α = 101.23°, β = 105.59°, γ = 90.00°
Last column: nearest neighbours and their distance in Å.
Fractional coordinates of all 10 atoms:
Cu (0.3992, 0.6992, 0.7984)  5 Ni 2.51-2.54, 7 Cu 2.53-2.55
Cu (0.0000, 0.5000, 0.0000)  4 Ni 2.53-2.54, 8 Cu 2.53-2.55
Cu (0.6000, 0.8002, 0.2001)  8 Cu 2.53-2.54, 4 Ni 2.54-2.55
Ni (0.0000, 0.0000, 0.0000)  12 Cu 2.53-2.54
Ni (0.2008, 0.5981, 0.4016)  10 Cu 2.51-2.55, 2 Ni 2.52
Cu (0.6008, 0.3008, 0.2016)  5 Ni 2.51-2.54, 7 Cu 2.53-2.55
Cu (0.8001, 0.8993, 0.6003)  5 Ni 2.51-2.54, 7 Cu 2.53-2.55
Ni (0.7992, 0.4019, 0.5984)  10 Cu 2.51-2.55, 2 Ni 2.52
Cu (0.1999, 0.1007, 0.3997)  5 Ni 2.51-2.54, 7 Cu 2.53-2.55
Cu (0.4000, 0.1998, 0.7999)  8 Cu 2.53-2.54, 4 Ni 2.54-2.55

[4]
A plane-wave DFT calculation with PBE-GGA was carried out for Cu2Ni13 after structural relaxation.

Values from the calculation:
space-group type: No. 166
magnetic moment: 8.21 μB/cell

a = 6.5083 Å, b = 6.5083 Å, c = 6.5083 Å
α = 59.74°, β = 59.74°, γ = 59.74°
Last column: nearest neighbours and their distance in Å.
Fractional coordinates of all 15 atoms:
Ni (0.0163, 0.0163, 0.6568)  6 Ni 2.27-2.40, 2 Cu 2.40-2.51
Ni (0.9837, 0.9837, 0.3432)  6 Ni 2.27-2.40, 2 Cu 2.40-2.51
Ni (0.0163, 0.6568, 0.0163)  6 Ni 2.27-2.40, 2 Cu 2.40-2.51
Ni (0.2427, 0.2427, 0.6112)  8 Ni 2.35-2.58, 1 Cu 2.49
Cu (0.7640, 0.7640, 0.7640)  9 Ni 2.40-2.51
Ni (0.7573, 0.3888, 0.7573)  8 Ni 2.35-2.58, 1 Cu 2.49
Ni (0.6568, 0.0163, 0.0163)  6 Ni 2.27-2.40, 2 Cu 2.40-2.51
Ni (0.2427, 0.6112, 0.2427)  8 Ni 2.35-2.58, 1 Cu 2.49
Ni (0.7573, 0.7573, 0.3888)  8 Ni 2.35-2.58, 1 Cu 2.49
Ni (0.5000, 0.5000, 0.5000)  6 Ni 2.55
Ni (0.3888, 0.7573, 0.7573)  8 Ni 2.35-2.58, 1 Cu 2.49
Ni (0.3432, 0.9837, 0.9837)  6 Ni 2.27-2.40, 2 Cu 2.40-2.51
Ni (0.6112, 0.2427, 0.2427)  8 Ni 2.35-2.58, 1 Cu 2.49
Ni (0.9837, 0.3432, 0.9837)  6 Ni 2.27-2.40, 2 Cu 2.40-2.51
Cu (0.2360, 0.2360, 0.2360)  9 Ni 2.40-2.51

| no. | V (Å³/f.u.) | uncorrected energy (eV per atom) | energy relative to the elements (meV per atom) |
| --- | --- | --- | --- |
| 1 | 128.52 | -4.8414 | 174 |
| 2 | 44.42 | -5.3229 | 37 |
| 3 | 115.18 | -4.5897 | 12 |
| 4 | 193.76 | -5.0762 | 480 |